No. 1
## IrRhW (PBE)

Data for an optimized crystal structure of IrRhW.

Computed properties:
Space group = P3m1
Energy above the most stable polymorph in this dataset = 0.44 eV per formula unit
ΔE_f = -123 meV per atom

Lattice parameters (Å, degrees): 2.7649 2.7649 6.7843 90.00 90.00 120.00
Atoms (fractional coordinates):
Ir 0.0000 0.0000 0.0000
Rh 0.6667 0.3333 0.3487
W 0.3333 0.6667 0.6752

No. 2
## TbGdAlAu (PBE)

Data for an optimized crystal structure of TbGdAlAu.

Computed properties:
Space group = F-43m
ΔE_f = -556 meV per atom

Lattice parameters (Å, degrees): 5.1607 5.1607 5.1607 60.00 60.00 60.00
Atoms (fractional coordinates):
Tb 0.0000 0.0000 0.0000
Gd 0.5000 0.5000 0.5000
Al 0.7500 0.7500 0.7500
Au 0.2500 0.2500 0.2500

No. 3
## LiTe4Pd (PBE)

Data for an optimized crystal structure of LiTe4Pd.

Computed properties:
Space group = C2/m
ΔE_f (raw) = -0.320 eV/atom
Energy above the most stable polymorph in this dataset = 0.00 eV per formula unit

Lattice parameters (Å, degrees): 6.2533 6.2533 8.1868 118.01 118.01 37.13
Atoms (fractional coordinates):
Li 0.0000 0.0000 0.0000
Te 0.1163 0.1163 0.4105
Te 0.3554 0.3554 0.1143
Te 0.6446 0.6446 0.8857
Te 0.8837 0.8837 0.5895
Pd 0.5000 0.5000 0.5000

No. 4
## SeBrN3 (PBE)

Data for an optimized crystal structure of SeBrN3.

Computed properties:
Space group = Pm-3m
ΔE_f (raw) = 2.448 eV/atom

Lattice parameters (Å, degrees): 3.8742 3.8742 3.8742 90.00 90.00 90.00
Atoms (fractional coordinates):
Se 0.0000 0.0000 0.0000
Br 0.5000 0.5000 0.5000
N 0.0000 0.0000 0.5000
N 0.0000 0.5000 0.0000
N 0.5000 0.0000 0.0000